# RbAgOs2Ru

An optimized crystal structure of RbAgOs2Ru (PBE, Alexandria).

Cell lengths 4.8256, 4.8256, 4.7479 Å; angles 90.00, 90.00, 90.00 degrees
Sites, in units of the cell vectors:
1 Rb 0.0000 0.0000 0.0000
2 Ag 0.5000 0.5000 0.5000
3 Os 0.0000 0.5000 0.0000
4 Os 0.5000 0.0000 0.0000
5 Ru 0.0000 0.0000 0.5000

Calculated values
total DFT energy (no corrections) = -3.435 eV/atom
density of states at the Fermi level = 6.05 states/eV per cell
energy relative to the elements = 3.676 eV per atom
space-group type = P4/mmm, No. 123

# Rb2AgOsS4

An optimized crystal structure of Rb2AgOsS4 (PBE, Alexandria).

Cell lengths 13.4502, 12.0898, 7.3496 Å; angles 83.77, 63.32, 32.90 degrees
Sites, in units of the cell vectors:
1 Rb 0.0542 0.0542 0.6958
2 Rb 0.3042 0.3042 0.9458
3 Rb 0.6958 0.6958 0.0542
4 Rb 0.9458 0.9458 0.3042
5 Ag 0.1250 0.1250 0.1250
6 Ag 0.8750 0.8750 0.8750
7 Os 0.3750 0.3750 0.3750
8 Os 0.6250 0.6250 0.6250
9 S 0.0140 0.6273 0.5428
10 S 0.3159 0.5428 0.6273
11 S 0.3727 0.9860 0.6841
12 S 0.4572 0.6841 0.9860
13 S 0.5428 0.3159 0.0140
14 S 0.6273 0.0140 0.3159
15 S 0.6841 0.4572 0.3727
16 S 0.9860 0.3727 0.4572

Calculated values
total DFT energy (no corrections) = -4.531 eV/atom
density of states at the Fermi level = 10.12 states/eV per cell
formation energy without anion corrections = -0.466 eV per atom
space-group type = Fddd, No. 70

# RbAgOs2Se

An optimized crystal structure of RbAgOs2Se (PBE, Alexandria).

Cell lengths 4.5985, 4.5985, 5.9664 Å; angles 90.00, 90.00, 90.00 degrees
Sites, in units of the cell vectors:
1 Rb 0.0000 0.0000 0.0000
2 Ag 0.5000 0.5000 0.0000
3 Os 0.0000 0.5000 0.5000
4 Os 0.5000 0.0000 0.5000
5 Se 0.0000 0.0000 0.5000

Calculated values
total DFT energy (no corrections) = -4.529 eV/atom
density of states at the Fermi level = 3.23 states/eV per cell
formation energy without anion corrections = 1.424 eV per atom
space-group type = P4/mmm, No. 123

# RbAgSn2Os

An optimized crystal structure of RbAgSn2Os (PBE, Alexandria).

Cell lengths 5.1186, 5.1186, 6.3293 Å; angles 90.00, 90.00, 90.00 degrees
Sites, in units of the cell vectors:
1 Rb 0.0000 0.0000 0.0000
2 Ag 0.5000 0.5000 0.0000
3 Sn 0.0000 0.5000 0.5000
4 Sn 0.5000 0.0000 0.5000
5 Os 0.0000 0.0000 0.5000

Calculated values
total DFT energy (no corrections) = -4.047 eV/atom
density of states at the Fermi level = 1.92 states/eV per cell
energy relative to the elements = 0.564 eV per atom
space-group type = P4/mmm, No. 123

# RbTc2AgOs

An optimized crystal structure of RbTc2AgOs (PBE, Alexandria).

Cell lengths 4.7919, 4.7919, 5.4634 Å; angles 90.00, 90.00, 90.00 degrees
Sites, in units of the cell vectors:
1 Rb 0.0000 0.0000 0.0000
2 Tc 0.0000 0.5000 0.5000
3 Tc 0.5000 0.0000 0.5000
4 Ag 0.5000 0.5000 0.0000
5 Os 0.5000 0.5000 0.5000

Calculated values
total DFT energy (no corrections) = -5.775 eV/atom
density of states at the Fermi level = 5.79 states/eV per cell
energy relative to the elements = 1.381 eV per atom
space-group type = P4/mmm, No. 123

# RbTcAg2Os

An optimized crystal structure of RbTcAg2Os (PBE, Alexandria).

Cell lengths 5.1891, 5.1891, 5.3610 Å; angles 90.00, 90.00, 90.00 degrees
Sites, in units of the cell vectors:
1 Rb 0.0000 0.0000 0.0000
2 Tc 0.5000 0.5000 0.0000
3 Ag 0.0000 0.5000 0.5000
4 Ag 0.5000 0.0000 0.5000
5 Os 0.0000 0.0000 0.5000

Calculated values
total DFT energy (no corrections) = -3.414 eV/atom
density of states at the Fermi level = 5.35 states/eV per cell
energy relative to the elements = 2.239 eV per atom
space-group type = P4/mmm, No. 123

# ReAgOs3

An optimized crystal structure of ReAgOs3 (PBE, Alexandria).

Cell lengths 4.7195, 4.7195, 4.7195 Å; angles 90.00, 90.00, 90.00 degrees
Sites, in units of the cell vectors:
1 Re 0.0000 0.0000 0.0000
2 Ag 0.5000 0.5000 0.5000
3 Os 0.0000 0.0000 0.5000
4 Os 0.0000 0.5000 0.0000
5 Os 0.5000 0.0000 0.0000

Calculated values
total DFT energy (no corrections) = -7.573 eV/atom
density of states at the Fermi level = 7.33 states/eV per cell
energy relative to the elements = 2.225 eV per atom
space-group type = Pm-3m, No. 221
polymorph energy (0 for the lowest one) = 0 meV/atom

# Re2AgOs

An optimized crystal structure of Re2AgOs (PBE, Alexandria).

Cell lengths 9.4370, 9.4370, 9.4370 Å; angles 16.89, 16.89, 16.89 degrees
Sites, in units of the cell vectors:
1 Re 0.2442 0.2442 0.2442
2 Re 0.7558 0.7558 0.7558
3 Ag 0.0000 0.0000 0.0000
4 Os 0.5000 0.5000 0.5000

Calculated values
total DFT energy (no corrections) = -9.413 eV/atom
density of states at the Fermi level = 5.88 states/eV per cell
energy relative to the elements = 0.332 eV per atom
space-group type = R-3m, No. 166
polymorph energy (0 for the lowest one) = 42 meV/atom

# Re2AgOs

An optimized crystal structure of Re2AgOs (PBE, Alexandria).

Cell lengths 9.5128, 9.5128, 9.5128 Å; angles 16.69, 16.69, 16.69 degrees
Sites, in units of the cell vectors:
1 Re 0.0000 0.0000 0.0000
2 Re 0.2546 0.2546 0.2546
3 Ag 0.7556 0.7556 0.7556
4 Os 0.5108 0.5108 0.5108

Calculated values
total DFT energy (no corrections) = -9.455 eV/atom
density of states at the Fermi level = 3.30 states/eV per cell
energy relative to the elements = 0.289 eV per atom
space-group type = R3m, No. 160
polymorph energy (0 for the lowest one) = 0 meV/atom

# Re2AgOs

An optimized crystal structure of Re2AgOs (PBE, Alexandria).

Cell lengths 2.7636, 4.4608, 4.9106 Å; angles 90.00, 90.00, 90.00 degrees
Sites, in units of the cell vectors:
1 Re 0.0000 0.0000 0.0000
2 Re 0.0000 0.5000 0.3112
3 Ag 0.5000 0.5000 0.8110
4 Os 0.5000 0.0000 0.4819

Calculated values
total DFT energy (no corrections) = -9.327 eV/atom
density of states at the Fermi level = 1.68 states/eV per cell
energy relative to the elements = 0.418 eV per atom
space-group type = Pmm2, No. 25
polymorph energy (0 for the lowest one) = 129 meV/atom

# Re2AgOs

An optimized crystal structure of Re2AgOs (PBE, Alexandria).

Cell lengths 5.6432, 5.6432, 5.6432 Å; angles 151.57, 130.91, 57.71 degrees
Sites, in units of the cell vectors:
1 Re 0.0000 0.0000 0.0000
2 Re 0.7736 0.2736 0.5000
3 Ag 0.2878 0.7878 0.5000
4 Os 0.5575 0.5575 0.0000

Calculated values
total DFT energy (no corrections) = -9.140 eV/atom
density of states at the Fermi level = 2.21 states/eV per cell
energy relative to the elements = 0.604 eV per atom
space-group type = Imm2, No. 44
polymorph energy (0 for the lowest one) = 315 meV/atom

# Re2AgOs

An optimized crystal structure of Re2AgOs (PBE, Alexandria).

Cell lengths 2.6994, 2.6994, 9.6282 Å; angles 90.00, 90.00, 116.37 degrees
Sites, in units of the cell vectors:
1 Re 0.0000 0.0000 0.2348
2 Re 0.0000 0.0000 0.7652
3 Ag 0.5000 0.5000 0.5000
4 Os 0.5000 0.5000 0.0000

Calculated values
total DFT energy (no corrections) = -9.175 eV/atom
density of states at the Fermi level = 3.55 states/eV per cell
energy relative to the elements = 0.570 eV per atom
space-group type = Cmmm, No. 65
polymorph energy (0 for the lowest one) = 281 meV/atom

no.,magnetic moment (μB per formula unit)
1,5.0
2,0.6
3,1.0
4,0.1
5,3.6
6,5.8
7,1.6
8,0.0
9,0.0
10,0.0
11,0.0
12,0.0